Below is crystalline Sc2Cr2H at its relaxed geometry, with properties calculated at the GGA-PBE level.

Cell lengths 5.8618, 5.8618, 4.7811 Å; angles 90.00, 90.00, 90.00 degrees
Fractional coordinates of all 10 atoms:
H  0.0000  0.0000  0.0000
H  0.5000  0.5000  0.0000
Cr  0.1117  0.6117  0.5000
Cr  0.6117  0.8883  0.5000
Cr  0.3883  0.1117  0.5000
Cr  0.8883  0.3883  0.5000
Sc  0.1760  0.3240  0.0000
Sc  0.3240  0.8240  0.0000
Sc  0.8240  0.6760  0.0000
Sc  0.6760  0.1760  0.0000

Results
DFT total energy = -6.553 eV/atom
spin magnetization = 0.0 μB/f.u.
DOS at the Fermi energy = 1.290 states/eV/atom

Below is crystalline MgPa2Pt9 at its relaxed geometry, with properties calculated at the GGA-PBE level.

Cell lengths 4.1352, 4.1352, 12.1636 Å; angles 90.00, 90.00, 90.00 degrees
Fractional coordinates of all 12 atoms:
Pt  0.0000  0.5000  0.8385
Pt  0.5000  0.0000  0.1615
Pt  0.5000  0.0000  0.8385
Pt  0.0000  0.5000  0.5000
Pt  0.5000  0.5000  0.6694
Pt  0.0000  0.5000  0.1615
Pt  0.5000  0.5000  0.3306
Pt  0.5000  0.0000  0.5000
Pt  0.5000  0.5000  0.0000
Mg  0.0000  0.0000  0.0000
Pa  0.0000  0.0000  0.6765
Pa  0.0000  0.0000  0.3235

Results
formation energy = -934.8 meV/atom
spin magnetization = 0.0 μB/f.u.
DOS at the Fermi energy = 0.145 states/eV/atom

Below is crystalline Sc2SiPb at its relaxed geometry, with properties calculated at the GGA-PBE level.

Cell lengths 5.2218, 5.2218, 5.2218 Å; angles 128.73, 128.73, 75.45 degrees
Fractional coordinates of all 4 atoms:
Si  0.2500  0.7500  0.5000
Sc  0.5000  0.5000  0.0000
Sc  0.0000  0.0000  0.0000
Pb  0.7500  0.2500  0.5000

Results
spin magnetization = 0.6 μB/f.u.
ΔE_f (raw) = -321 meV per atom
DOS at the Fermi energy = 1.062 states/eV/atom

Below is crystalline MgSc5Bi3 at its relaxed geometry, with properties calculated at the GGA-PBE level.

Cell lengths 6.1682, 8.9436, 8.9422 Å; angles 120.01, 90.00, 90.00 degrees
Fractional coordinates of all 18 atoms:
Bi  0.2500  0.0000  0.3738
Bi  0.7500  0.0000  0.6262
Bi  0.7500  0.6261  0.0000
Bi  0.7500  0.3737  0.3738
Bi  0.2500  0.6263  0.6262
Bi  0.2500  0.3739  0.0000
Sc  0.7500  0.2865  0.0000
Sc  0.2500  0.7135  0.0000
Sc  0.2500  0.2866  0.2865
Sc  0.7500  0.7134  0.7135
Sc  0.7500  0.9999  0.2865
Sc  0.2500  0.0001  0.7135
Sc  0.0000  0.3333  0.6666
Sc  0.0000  0.6667  0.3334
Sc  0.5000  0.3333  0.6666
Sc  0.5000  0.6667  0.3334
Mg  0.5000  0.0000  0.0000
Mg  0.0000  0.0000  0.0000

Results
formation energy = -452.8 meV/atom
spin magnetization = 0.8 μB/f.u.
DOS at the Fermi energy = 1.168 states/eV/atom

Below is crystalline Pr2AlSi4Pd3 at its relaxed geometry, with properties calculated at the GGA-PBE level.

Cell lengths 4.2087, 4.2087, 10.3457 Å; angles 90.00, 90.00, 90.00 degrees
Fractional coordinates of all 10 atoms:
Si  0.5000  0.5000  0.0000
Si  0.0000  0.0000  0.0000
Si  0.0000  0.5000  0.3573
Si  0.5000  0.0000  0.6427
Pd  0.5000  0.0000  0.8795
Pd  0.0000  0.0000  0.5000
Pd  0.0000  0.5000  0.1205
Al  0.5000  0.5000  0.5000
Pr  0.5000  0.0000  0.2434
Pr  0.0000  0.5000  0.7566

Results
spin magnetization = 0.0 μB/f.u.
ΔE_f (raw) = -834 meV per atom
DOS at the Fermi energy = 0.363 states/eV/atom

Below is crystalline CaCd2Sn2 at its relaxed geometry, with properties calculated at the GGA-PBE level.

Cell lengths 8.3178, 8.3178, 3.9688 Å; angles 90.00, 90.00, 90.00 degrees
Fractional coordinates of all 10 atoms:
Sn  0.8667  0.6333  0.0000
Sn  0.6333  0.1333  0.0000
Sn  0.1333  0.3667  0.0000
Sn  0.3667  0.8667  0.0000
Cd  0.6621  0.8379  0.5000
Cd  0.8379  0.3379  0.5000
Cd  0.1621  0.6621  0.5000
Cd  0.3379  0.1621  0.5000
Ca  0.5000  0.5000  0.0000
Ca  0.0000  0.0000  0.0000

Results
formation energy = -144.5 meV/atom
spin magnetization = 0.0 μB/f.u.
DOS at the Fermi energy = 0.538 states/eV/atom

Below is crystalline VSiCl2 at its relaxed geometry, with properties calculated at the GGA-PBE level.

Cell lengths 4.6902, 4.6902, 4.6902 Å; angles 60.00, 60.00, 60.00 degrees
Fractional coordinates of all 4 atoms:
Cl  0.2500  0.2500  0.2500
Cl  0.7500  0.7500  0.7500
V  0.5000  0.5000  0.5000
Si  0.0000  0.0000  0.0000

Results
spin magnetization = 3.5 μB/f.u.
ΔE_f (raw) = 405 meV per atom
DOS at the Fermi energy = 1.399 states/eV/atom

Below is crystalline PuCuSi2 at its relaxed geometry, with properties calculated at the GGA-PBE level.

Cell lengths 4.1605, 5.3907, 4.2408 Å; angles 129.46, 90.00, 90.00 degrees
Fractional coordinates of all 4 atoms:
Cu  0.0000  0.4562  0.9124
Si  0.0000  0.0835  0.1671
Si  0.5000  0.2840  0.5679
Pu  0.5000  0.7793  0.5587

Results
spin magnetization = 5.6 μB/f.u.
ΔE_f (raw) = -18 meV per atom
DOS at the Fermi energy = 2.612 states/eV/atom